Entry 1:
Zr2Al3Si3 (PBE, relaxed); polymorph energy (0 for the lowest one) = 131 meV per atom
1.0
7.134 0.000 0.000
-3.567 6.178 0.000
0.000 0.000 3.251
Zr Al Si
2 3 3
Direct
0.333 0.667 0.000
0.667 0.333 0.000
0.000 0.787 0.000
0.213 0.213 0.000
0.787 0.000 0.000
0.000 0.351 0.500
0.351 0.000 0.500
0.649 0.649 0.500


Entry 2:
Mn2Sb3 (PBE, relaxed); polymorph energy (0 for the lowest one) = 56 meV per atom
1.0
0.000 5.767 3.632
5.319 0.000 3.632
5.319 5.767 0.000
Mn Sb
4 6
Direct
0.334 0.666 0.423
0.666 0.334 0.577
0.673 0.827 0.584
0.827 0.673 0.916
0.075 0.075 0.425
0.266 0.514 0.859
0.391 0.889 0.984
0.514 0.266 0.361
0.825 0.825 0.175
0.889 0.391 0.736


Entry 3:
ScAg2Rh (PBE, relaxed); formation energy from the elements = -1.351 eV per formula unit
1.0
-2.093 2.093 3.928
2.093 -2.093 3.928
2.093 2.093 -3.928
Sc Ag Rh
1 2 1
Direct
0.000 0.000 0.000
0.500 0.500 0.000
0.750 0.250 0.500
0.250 0.750 0.500


Entry 4:
## Rb3AcBi2Se6 (PBE)

Data for a relaxed Rb3AcBi2Se6 crystal.

Structure (POSCAR):
```
Rb3AcBi2Se6
1.0
3.842 -6.656 0.000
3.842 6.656 0.000
-2.566 0.000 8.060
Rb Ac Bi Se
3 1 2 6
Direct
0.000 0.000 0.000
0.334 0.666 0.000
0.666 0.334 0.000
0.500 0.500 0.500
0.167 0.833 0.500
0.833 0.167 0.500
0.087 0.432 0.296
0.223 0.223 0.704
0.432 0.087 0.296
0.568 0.913 0.704
0.777 0.777 0.296
0.913 0.568 0.704
```


Entry 5:
K2ScW (PBE, relaxed); polymorph energy (0 for the lowest one) = 133 meV per atom; formation energy from the elements = 4.094 eV per formula unit
1.0
4.814 -1.475 0.000
4.814 1.475 0.000
-0.293 0.000 10.026
K Sc W
2 1 1
Direct
0.000 0.000 0.000
0.240 0.240 0.604
0.478 0.478 0.335
0.750 0.750 0.265


Entry 6:
AcLaLu2 (PBE, relaxed); polymorph energy (0 for the lowest one) = 0 meV per atom; formation energy from the elements = 0.201 eV per formula unit
1.0
5.423 0.000 0.000
0.000 5.423 0.000
0.000 0.000 4.730
Ac La Lu
1 1 2
Direct
0.000 0.000 0.000
0.500 0.500 0.000
0.000 0.500 0.500
0.500 0.000 0.500


Entry 7:
PuScN (PBE, relaxed); polymorph energy (0 for the lowest one) = 0 meV per atom
1.0
3.311 0.000 0.000
0.000 3.311 0.000
0.000 0.000 8.874
Pu Sc N
2 2 2
Direct
0.250 0.750 0.000
0.750 0.250 0.000
0.250 0.250 0.380
0.750 0.750 0.620
0.250 0.250 0.617
0.750 0.750 0.383


Entry 8:
NbTlSe3 (PBE, relaxed); polymorph energy (0 for the lowest one) = 79 meV per atom
1.0
5.123 0.000 0.000
0.000 5.123 0.000
0.000 0.000 5.123
Nb Tl Se
1 1 3
Direct
0.000 0.000 0.000
0.500 0.500 0.500
0.000 0.000 0.500
0.000 0.500 0.000
0.500 0.000 0.000


| no. | E (eV per atom) |
| --- | --- |
| 1 | -5.795 |
| 2 | -6.043 |
| 3 | -5.184 |
| 4 | -4.099 |
| 5 | -4.346 |
| 6 | -4.469 |
| 7 | -10.205 |
| 8 | -5.022 |